Entry 1:
DFT (PBE) results for a geometry-optimized SrRe2Pd structure.

Computed properties:
ρ = 13.19 g/cm³
total moment = 0.0 μB/cell
space-group type = No. 225
energy above the lowest structure with this stoichiometry = 477 meV/atom
D(E_F) = 5.30 states/eV/f.u.

Geometry as extended XYZ:
```
16
Lattice="6.583 0.000 0.000 0.000 6.583 0.000 0.000 0.000 6.583" Properties=species:S:1:pos:R:3 pbc="T T T"
Sr 0.000 0.000 0.000
Sr 0.000 3.291 3.291
Sr 3.291 0.000 3.291
Sr 3.291 3.291 0.000
Re 1.646 1.646 1.646
Re 1.646 1.646 4.937
Re 1.646 4.937 1.646
Re 1.646 4.937 4.937
Re 4.937 1.646 1.646
Re 4.937 1.646 4.937
Re 4.937 4.937 1.646
Re 4.937 4.937 4.937
Pd 0.000 0.000 3.291
Pd 0.000 3.291 0.000
Pd 3.291 0.000 0.000
Pd 3.291 3.291 3.291
```



Entry 2:
DFT (PBE) results for a geometry-optimized NpSnCl5 structure.

Computed properties:
ρ = 4.05 g/cm³
total moment = 8.0 μB/cell
space-group type = No. 11
D(E_F) = 5.14 states/eV/f.u.
formation energy without anion corrections = -1378 meV per atom

Geometry as extended XYZ:
```
14
Lattice="7.704 0.000 0.000 0.000 4.255 0.000 -0.651 0.000 13.334" Properties=species:S:1:pos:R:3 pbc="T T T"
Np 0.587 1.064 1.967
Np 6.466 3.192 11.367
Sn 2.963 3.192 4.859
Sn 4.090 1.064 8.475
Cl 0.275 1.064 10.521
Cl 0.973 1.064 4.801
Cl 1.359 3.192 0.219
Cl 2.341 3.192 7.498
Cl 3.213 1.064 2.371
Cl 3.840 3.192 10.963
Cl 4.712 1.064 5.836
Cl 5.694 1.064 13.115
Cl 6.080 3.192 8.533
Cl 6.778 3.192 2.813
```



What did the first record say?
DFT (PBE) results for a geometry-optimized SrRe2Pd structure.

Computed properties:
ρ = 13.19 g/cm³
total moment = 0.0 μB/cell
space-group type = No. 225
energy above the lowest structure with this stoichiometry = 477 meV/atom
D(E_F) = 5.30 states/eV/f.u.

Geometry as extended XYZ:
```
16
Lattice="6.583 0.000 0.000 0.000 6.583 0.000 0.000 0.000 6.583" Properties=species:S:1:pos:R:3 pbc="T T T"
Sr 0.000 0.000 0.000
Sr 0.000 3.291 3.291
Sr 3.291 0.000 3.291
Sr 3.291 3.291 0.000
Re 1.646 1.646 1.646
Re 1.646 1.646 4.937
Re 1.646 4.937 1.646
Re 1.646 4.937 4.937
Re 4.937 1.646 1.646
Re 4.937 1.646 4.937
Re 4.937 4.937 1.646
Re 4.937 4.937 4.937
Pd 0.000 0.000 3.291
Pd 0.000 3.291 0.000
Pd 3.291 0.000 0.000
Pd 3.291 3.291 3.291
```